Computed, not measured: a relaxed structure of ScSnAu3 at the GGA-PBE level of DFT.

```
ScSnAu3
1.0
5.110 0.000 0.000
0.000 5.110 0.000
0.000 0.000 5.110
Sc Sn Au
1 1 3
Cartesian
0.000 0.000 0.000
2.555 2.555 2.555
0.000 2.555 2.555
2.555 0.000 2.555
2.555 2.555 0.000
```

Values from the calculation:
DOS at the Fermi energy	1.027	states/eV per atom
crystal system	cubic
energy above the lowest structure with this stoichiometry	10.9	meV/atom
energy relative to the elements	321	meV per atom
total magnetization	0.642	Bohr magnetons per cell